The following is a DFT calculation (PBE) of LaRu2Pt after structural relaxation.

POSCAR file:
```
LaRu2Pt
1.0
2.951 0.000 0.000
0.000 4.733 0.000
-0.770 0.000 5.294
La Ru Pt
1 2 1
direct
0.000 0.000 0.000
0.306 0.500 0.705
0.694 0.500 0.295
0.500 0.000 0.500
```

Properties
* calculated total energy: -0.26538 Ha/atom
* formation enthalpy at 0 K: 0.16 eV per atom
* Fermi-level density of states: 6.3 states/eV/cell
* spin magnetization: 0.002 μB per cell
* offset from the most stable computed form: 322.5 meV/atom
* density: 12.04 g/cm³


The following is a DFT calculation (PBE) of Zr2Pd2Pt after structural relaxation.

POSCAR file:
```
Zr2Pd2Pt
1.0
7.311 0.000 0.000
0.000 7.311 0.000
0.000 0.000 3.444
Zr Pd Pt
4 4 2
direct
0.177 0.323 0.000
0.323 0.823 0.000
0.677 0.177 0.000
0.823 0.677 0.000
0.129 0.629 0.500
0.371 0.129 0.500
0.629 0.871 0.500
0.871 0.371 0.500
0.000 0.000 0.500
0.500 0.500 0.500
```

Properties
* calculated total energy: -0.27247 Ha/atom
* formation enthalpy at 0 K: -0.71 eV per atom
* Fermi-level density of states: 9.1 states/eV/cell
* spin magnetization: 0.000 μB per cell
* offset from the most stable computed form: 0.0 meV/atom
* density: 10.65 g/cm³


The following is a DFT calculation (PBE) of Ca2LaP after structural relaxation.

POSCAR file:
```
Ca2LaP
1.0
6.275 0.000 0.000
0.000 12.088 0.000
-3.127 0.000 3.174
Ca La P
4 2 2
direct
0.250 0.250 0.000
0.250 0.750 0.000
0.750 0.250 0.000
0.750 0.750 0.000
0.000 0.000 0.500
0.500 0.500 0.500
0.000 0.500 0.500
0.500 0.000 0.500
```

Properties
* calculated total energy: -0.14036 Ha/atom
* formation enthalpy at 0 K: -0.23 eV per atom
* Fermi-level density of states: 6.8 states/eV/cell
* spin magnetization: 0.000 μB per cell
* density: 3.45 g/cm³


The following is a DFT calculation (PBE) of Mg12AlCd3 after structural relaxation.

POSCAR file:
```
Mg12AlCd3
1.0
4.503 0.000 0.000
0.000 4.503 0.000
0.000 0.000 17.194
Mg Al Cd
12 1 3
direct
0.000 0.000 0.000
0.000 0.000 0.249
0.000 0.000 0.500
0.000 0.000 0.751
0.000 0.500 0.122
0.000 0.500 0.375
0.000 0.500 0.625
0.000 0.500 0.878
0.500 0.000 0.122
0.500 0.000 0.375
0.500 0.000 0.625
0.500 0.000 0.878
0.500 0.500 0.000
0.500 0.500 0.249
0.500 0.500 0.500
0.500 0.500 0.751
```

Properties
* calculated total energy: -0.06059 Ha/atom
* formation enthalpy at 0 K: -0.05 eV per atom
* Fermi-level density of states: 4.2 states/eV/cell
* spin magnetization: 0.000 μB per cell
* density: 3.12 g/cm³


The following is a DFT calculation (PBE) of Tm7Bi2Os2 after structural relaxation.

POSCAR file:
```
Tm7Bi2Os2
1.0
-1.992 8.097 4.543
1.992 -8.097 4.543
1.992 8.097 -4.543
Tm Bi Os
7 2 2
direct
0.000 0.000 0.000
0.279 0.414 0.865
0.306 0.622 0.684
0.548 0.414 0.135
0.590 0.251 0.340
0.911 0.251 0.660
0.938 0.622 0.316
0.260 0.760 0.500
0.666 0.666 0.000
0.174 0.932 0.243
0.689 0.932 0.757
```

Properties
* calculated total energy: -0.22203 Ha/atom
* formation enthalpy at 0 K: -0.45 eV per atom
* Fermi-level density of states: 7.6 states/eV/cell
* spin magnetization: 0.000 μB per cell
* density: 11.22 g/cm³


The following is a DFT calculation (PBE) of MgGa2Pb after structural relaxation.

POSCAR file:
```
MgGa2Pb
1.0
7.210 0.000 0.000
0.000 7.210 0.000
0.000 0.000 7.210
Mg Ga Pb
4 8 4
direct
0.000 0.000 0.000
0.000 0.500 0.500
0.500 0.000 0.500
0.500 0.500 0.000
0.250 0.250 0.250
0.250 0.250 0.750
0.250 0.750 0.250
0.250 0.750 0.750
0.750 0.250 0.250
0.750 0.250 0.750
0.750 0.750 0.250
0.750 0.750 0.750
0.000 0.000 0.500
0.000 0.500 0.000
0.500 0.000 0.000
0.500 0.500 0.500
```

Properties
* calculated total energy: -0.10276 Ha/atom
* formation enthalpy at 0 K: 0.04 eV per atom
* Fermi-level density of states: 2.5 states/eV/cell
* spin magnetization: 0.000 μB per cell
* offset from the most stable computed form: 38.7 meV/atom
* density: 6.57 g/cm³


The following is a DFT calculation (PBE) of Cd2CoHg after structural relaxation.

POSCAR file:
```
Cd2CoHg
1.0
4.122 0.000 0.000
0.000 4.122 0.000
0.000 0.000 8.769
Cd Co Hg
4 2 2
direct
0.000 0.000 0.000
0.000 0.500 0.250
0.500 0.000 0.750
0.500 0.500 0.500
0.000 0.500 0.750
0.500 0.000 0.250
0.000 0.000 0.500
0.500 0.500 0.000
```

Properties
* calculated total energy: -0.07323 Ha/atom
* formation enthalpy at 0 K: 0.32 eV per atom
* Fermi-level density of states: 5.9 states/eV/cell
* spin magnetization: 2.110 μB per cell
* density: 10.80 g/cm³


The following is a DFT calculation (PBE) of SiRu2W after structural relaxation.

POSCAR file:
```
SiRu2W
1.0
2.877 0.000 0.000
0.000 2.877 0.000
0.000 0.000 6.654
Si Ru W
1 2 1
direct
0.000 0.000 0.000
0.500 0.500 0.218
0.500 0.500 0.782
0.000 0.000 0.500
```

Properties
* calculated total energy: -0.35248 Ha/atom
* Fermi-level density of states: 3.4 states/eV/cell
* spin magnetization: 0.000 μB per cell
* uncorrected formation energy: -0.359 eV/atom
* density: 12.48 g/cm³